# 1
First-principles (PBE-GGA) data for a relaxed structure of SrCu3Ni, as listed in the Alexandria database.

Unit cell a=4.583 b=4.583 c=4.583 alpha=90.00 beta=90.00 gamma=90.00
Sites, in units of the cell vectors:
Sr 0.000 0.000 0.000
Cu 0.000 0.500 0.500
Cu 0.500 0.000 0.500
Cu 0.500 0.500 0.000
Ni 0.500 0.500 0.500

Summary:
Total moment   0.000 μB/f.u.
Space group   Pm-3m (221)
ΔE_f   0.208 eV/atom
ΔE to the lowest computed polymorph   0.206 eV/atom
Uncorrected energy   -3.742 eV/atom

***

# 2
First-principles (PBE-GGA) data for a relaxed structure of Ta2Pd2N, as listed in the Alexandria database.

Unit cell a=5.662 b=5.662 c=4.798 alpha=90.00 beta=90.00 gamma=90.00
Sites, in units of the cell vectors:
Ta 0.175 0.325 0.000
Ta 0.325 0.825 0.000
Ta 0.675 0.175 0.000
Ta 0.825 0.675 0.000
Pd 0.165 0.665 0.500
Pd 0.335 0.165 0.500
Pd 0.665 0.835 0.500
Pd 0.835 0.335 0.500
N 0.000 0.000 0.000
N 0.500 0.500 0.000

Summary:
Total moment   0.000 μB/f.u.
Space group   P4/mbm (127)
ΔE_f (raw)   -0.4411 eV/atom
Uncorrected energy   -8.924 eV/atom

***

# 3
First-principles (PBE-GGA) data for a relaxed structure of TbNd8, as listed in the Alexandria database.

Unit cell a=8.204 b=8.204 c=8.204 alpha=95.74 beta=95.74 gamma=143.13
Sites, in units of the cell vectors:
Tb 0.000 0.000 0.000
Nd 0.000 0.333 0.333
Nd 0.000 0.667 0.667
Nd 0.333 0.000 0.333
Nd 0.334 0.334 0.668
Nd 0.334 0.666 0.000
Nd 0.666 0.334 0.000
Nd 0.666 0.666 0.332
Nd 0.667 0.000 0.667

Summary:
Total moment   0.000 μB/f.u.
Space group   I4/mmm (139)
ΔE_f   0.013 eV/atom
Uncorrected energy   -4.739 eV/atom

***

# 4
First-principles (PBE-GGA) data for a relaxed structure of ErReCl, as listed in the Alexandria database.

Unit cell a=3.195 b=3.195 c=26.689 alpha=90.00 beta=90.00 gamma=90.00
Sites, in units of the cell vectors:
Er 0.000 0.000 0.117
Er 0.000 0.000 0.883
Er 0.500 0.500 0.383
Er 0.500 0.500 0.617
Re 0.000 0.000 0.457
Re 0.000 0.000 0.543
Re 0.500 0.500 0.043
Re 0.500 0.500 0.957
Cl 0.000 0.000 0.318
Cl 0.000 0.000 0.682
Cl 0.500 0.500 0.182
Cl 0.500 0.500 0.818

Summary:
Total moment   0.000 μB/f.u.
Space group   I4/mmm (139)
ΔE_f (raw)   -0.3773 eV/atom
Uncorrected energy   -6.663 eV/atom

***

# 5
First-principles (PBE-GGA) data for a relaxed structure of ReTcSF2, as listed in the Alexandria database.

Unit cell a=3.978 b=3.978 c=5.031 alpha=90.00 beta=90.00 gamma=90.00
Sites, in units of the cell vectors:
Re 0.000 0.000 0.000
Tc 0.500 0.500 0.500
S 0.500 0.500 0.000
F 0.000 0.500 0.500
F 0.500 0.000 0.500

Summary:
Total moment   5.820 μB/f.u.
Space group   P4/mmm (123)
ΔE_f (raw)   0.1568 eV/atom
ΔE to the lowest computed polymorph   0.000 eV/atom
Uncorrected energy   -5.980 eV/atom

***

# 6
First-principles (PBE-GGA) data for a relaxed structure of Li4YTh, as listed in the Alexandria database.

Unit cell a=5.834 b=5.834 c=5.834 alpha=60.00 beta=60.00 gamma=60.00
Sites, in units of the cell vectors:
Li 0.125 0.125 0.125
Li 0.125 0.125 0.626
Li 0.125 0.626 0.125
Li 0.626 0.125 0.125
Y 0.750 0.750 0.750
Th 0.500 0.500 0.500

Summary:
Total moment   0.000 μB/f.u.
Space group   F-43m (216)
ΔE_f   0.191 eV/atom
Uncorrected energy   -3.399 eV/atom

***

# 7
First-principles (PBE-GGA) data for a relaxed structure of CeNd3Ga4, as listed in the Alexandria database.

Unit cell a=3.675 b=3.675 c=14.824 alpha=90.00 beta=90.00 gamma=90.00
Sites, in units of the cell vectors:
Ce 0.000 0.000 0.000
Nd 0.000 0.000 0.250
Nd 0.000 0.000 0.500
Nd 0.000 0.000 0.750
Ga 0.500 0.500 0.125
Ga 0.500 0.500 0.374
Ga 0.500 0.500 0.626
Ga 0.500 0.500 0.875

Summary:
Total moment   0.797 μB/f.u.
Space group   P4/mmm (123)
ΔE_f   -0.527 eV/atom
ΔE to the lowest computed polymorph   0.000 eV/atom
Uncorrected energy   -4.570 eV/atom

***

# 8
First-principles (PBE-GGA) data for a relaxed structure of La2AuN2, as listed in the Alexandria database.

Unit cell a=5.059 b=5.059 c=9.332 alpha=90.00 beta=90.00 gamma=90.00
Sites, in units of the cell vectors:
La 0.000 0.500 0.250
La 0.000 0.500 0.750
La 0.500 0.000 0.250
La 0.500 0.000 0.750
Au 0.000 0.000 0.000
Au 0.500 0.500 0.500
N 0.000 0.000 0.225
N 0.000 0.000 0.775
N 0.500 0.500 0.275
N 0.500 0.500 0.725

Summary:
Total moment   0.000 μB/f.u.
Space group   I4/mmm (139)
ΔE_f (raw)   -0.8020 eV/atom
Uncorrected energy   -6.759 eV/atom

***

# 9
First-principles (PBE-GGA) data for a relaxed structure of GdMgSnAu, as listed in the Alexandria database.

Unit cell a=7.192 b=7.192 c=7.192 alpha=90.00 beta=90.00 gamma=90.00
Sites, in units of the cell vectors:
Gd 0.000 0.000 0.000
Gd 0.000 0.500 0.500
Gd 0.500 0.000 0.500
Gd 0.500 0.500 0.000
Mg 0.000 0.000 0.500
Mg 0.000 0.500 0.000
Mg 0.500 0.000 0.000
Mg 0.500 0.500 0.500
Sn 0.250 0.250 0.750
Sn 0.250 0.750 0.250
Sn 0.750 0.250 0.250
Sn 0.750 0.750 0.750
Au 0.250 0.250 0.250
Au 0.250 0.750 0.750
Au 0.750 0.250 0.750
Au 0.750 0.750 0.250

Summary:
Total moment   7.027 μB/f.u.
Space group   F-43m (216)
ΔE_f   -0.613 eV/atom
Uncorrected energy   -6.352 eV/atom

***

# 10
First-principles (PBE-GGA) data for a relaxed structure of PaPt2O6, as listed in the Alexandria database.

Unit cell a=5.377 b=5.377 c=4.662 alpha=90.00 beta=90.00 gamma=120.00
Sites, in units of the cell vectors:
Pa 0.000 0.000 0.000
Pt 0.333 0.667 0.500
Pt 0.667 0.333 0.500
O 0.000 0.343 0.732
O 0.000 0.657 0.268
O 0.343 0.000 0.732
O 0.343 0.343 0.268
O 0.657 0.000 0.268
O 0.657 0.657 0.732

Summary:
Total moment   1.126 μB/f.u.
Space group   P-31m (162)
ΔE_f (raw)   -1.5069 eV/atom
Uncorrected energy   -7.210 eV/atom

***

# 11
First-principles (PBE-GGA) data for a relaxed structure of NaAs2I, as listed in the Alexandria database.

Unit cell a=4.111 b=4.111 c=39.680 alpha=90.00 beta=90.00 gamma=90.00
Sites, in units of the cell vectors:
Na 0.000 0.000 0.000
Na 0.000 0.500 0.250
Na 0.500 0.000 0.750
Na 0.500 0.500 0.500
As 0.169 0.250 0.625
As 0.250 0.669 0.875
As 0.250 0.831 0.375
As 0.331 0.250 0.125
As 0.669 0.750 0.125
As 0.750 0.169 0.375
As 0.750 0.331 0.875
As 0.831 0.750 0.625
I 0.000 0.000 0.500
I 0.000 0.500 0.750
I 0.500 0.000 0.250
I 0.500 0.500 0.000

Summary:
Total moment   0.000 μB/f.u.
Space group   I-42d (122)
ΔE_f (raw)   -0.2164 eV/atom
ΔE to the lowest computed polymorph   0.000 eV/atom
Uncorrected energy   -3.258 eV/atom

***

# 12
First-principles (PBE-GGA) data for a relaxed structure of AcErGaPt, as listed in the Alexandria database.

Unit cell a=7.396 b=7.396 c=7.396 alpha=90.00 beta=90.00 gamma=90.00
Sites, in units of the cell vectors:
Ac 0.000 0.000 0.000
Ac 0.000 0.500 0.500
Ac 0.500 0.000 0.500
Ac 0.500 0.500 0.000
Er 0.000 0.000 0.500
Er 0.000 0.500 0.000
Er 0.500 0.000 0.000
Er 0.500 0.500 0.500
Ga 0.250 0.250 0.750
Ga 0.250 0.750 0.250
Ga 0.750 0.250 0.250
Ga 0.750 0.750 0.750
Pt 0.250 0.250 0.250
Pt 0.250 0.750 0.750
Pt 0.750 0.250 0.750
Pt 0.750 0.750 0.250

Summary:
Total moment   0.000 μB/f.u.
Space group   F-43m (216)
ΔE_f   -0.704 eV/atom
Uncorrected energy   -5.138 eV/atom